# 1
ScPaTiW (GGA-PBE, optimized geometry); total DFT energy (no corrections) = -9.03 eV/atom; N(E_F) = 6.65 states/eV per cell
1.0
4.808 0.000 0.000
2.404 4.164 0.000
2.404 1.388 3.926
Ti W Pa Sc
1 1 1 1
Cartesian
0.000 0.000 0.000 Ti
4.808 2.776 1.963 W
2.404 1.388 0.982 Pa
7.213 4.164 2.945 Sc

***

# 2
ZrScPaTi (GGA-PBE, optimized geometry); total DFT energy (no corrections) = -7.91 eV/atom; N(E_F) = 6.65 states/eV per cell
1.0
-2.688 -0.163 -4.223
-3.894 -3.129 -0.371
-4.670 1.810 -0.068
Ti Zr Pa Sc
1 1 1 1
Cartesian
-5.626 -0.741 -2.331 Ti
0.000 0.000 0.000 Zr
-2.813 -0.370 -1.165 Pa
-8.439 -1.111 -3.496 Sc

***

# 3
Sc2PaTl (GGA-PBE, optimized geometry); total DFT energy (no corrections) = -6.22 eV/atom; N(E_F) = 5.11 states/eV per cell
1.0
3.311 0.000 0.000
0.000 3.311 0.000
0.000 0.000 8.772
Tl Sc Pa
1 2 1
Cartesian
1.655 1.655 0.000 Tl
0.000 0.000 6.661 Sc
0.000 0.000 2.110 Sc
1.655 1.655 4.386 Pa